{"formula": "MnBe2IrO8", "functional": "GGA+U", "state": "optimized geometry", "energy_ev_per_cell": -74.56, "cell": [[5.221, 0.000, 0.000], [-2.610, 4.521, 0.000], [0.000, 0.000, 5.345]], "species": ["O", "O", "O", "O", "O", "O", "O", "O", "Mn", "Ir", "Be", "Be"], "frac_coords": [[0.840, 0.681, 0.250], [0.681, 0.840, 0.750], [0.160, 0.840, 0.750], [0.840, 0.160, 0.250], [0.333, 0.667, 0.364], [0.667, 0.333, 0.636], [0.319, 0.160, 0.250], [0.160, 0.319, 0.750], [0.000, 0.000, 0.500], [0.000, 0.000, 0.000], [0.667, 0.333, 0.328], [0.333, 0.667, 0.672]]}